Entry 1:
## Ba2NaIrO6 (PBE-GGA)

Data for Ba2NaIrO6 after structural relaxation.

Cell: 5.9405 5.9405 5.9405 Å, 60.00 60.00 60.00°
Last column: nearest neighbours and their distance in Å.
Element x y z (fractional)
Ba (0.2500, 0.2500, 0.2500)  12 O 2.98
Ba (0.7500, 0.7500, 0.7500)  12 O 2.98
Na (0.0000, 0.0000, 0.0000)  6 O 2.28
Ir (0.5000, 0.5000, 0.5000)  6 O 1.92
O (0.2712, 0.2712, 0.7288)  1 Ir 1.92
O (0.2712, 0.7288, 0.2712)  1 Ir 1.92
O (0.2712, 0.7288, 0.7288)  1 Ir 1.92
O (0.7288, 0.2712, 0.2712)  1 Ir 1.92
O (0.7288, 0.2712, 0.7288)  1 Ir 1.92
O (0.7288, 0.7288, 0.2712)  1 Ir 1.92

Computed properties:
Raw formation energy = -1.75 eV per atom
DOS(E_F) = 6.6 states/eV per cell

---

Entry 2:
## BaNaIrO3 (PBE-GGA)

Data for BaNaIrO3 after structural relaxation.

Cell: 7.7819 7.7819 6.0261 Å, 90.00 90.00 139.76°
Last column: nearest neighbours and their distance in Å.
Element x y z (fractional)
Ba (0.2367, 0.7633, 0.7500)  4 O 2.73-3.02
Ba (0.7633, 0.2367, 0.2500)  4 O 2.73-3.02
Na (0.0759, 0.9241, 0.2500)  5 O 2.22-2.37
Na (0.9241, 0.0759, 0.7500)  5 O 2.22-2.37
Ir (0.4905, 0.5095, 0.2500)  4 O 1.94
Ir (0.5095, 0.4905, 0.7500)  4 O 1.94
O (0.2279, 0.7721, 0.2500)  1 Na 2.22
O (0.2723, 0.2723, 0.0000)  2 Ir 1.94
O (0.2723, 0.2723, 0.5000)  2 Ir 1.94
O (0.7277, 0.7277, 0.0000)  2 Ir 1.94
O (0.7277, 0.7277, 0.5000)  2 Ir 1.94
O (0.7721, 0.2279, 0.7500)  1 Na 2.22

Computed properties:
Raw formation energy = -1.27 eV per atom
DOS(E_F) = 7.3 states/eV per cell

---

Entry 3:
## BaNaIrO4 (PBE-GGA)

Data for BaNaIrO4 after structural relaxation.

Cell: 7.2258 7.2258 7.2258 Å, 148.50 148.50 45.14°
Last column: nearest neighbours and their distance in Å.
Element x y z (fractional)
Ba (0.0000, 0.0000, 0.0000)  5 O 2.54-2.77
Na (0.7017, 0.7017, 0.0000)  9 O 2.72-2.78
Ir (0.3378, 0.3378, 0.0000)  6 O 1.96-2.08
O (0.1907, 0.1907, 0.0000)  1 Ir 1.96
O (0.3433, 0.8433, 0.5000)  2 Ir 1.96
O (0.4935, 0.4935, 0.0000)  1 Ir 2.08
O (0.8433, 0.3433, 0.5000)  2 Ir 1.96

Computed properties:
Raw formation energy = -1.44 eV per atom
DOS(E_F) = 6.2 states/eV per cell

---

Entry 4:
## BaNaIr2O8 (PBE-GGA)

Data for BaNaIr2O8 after structural relaxation.

Cell: 5.5736 5.5736 6.2248 Å, 90.00 90.00 120.00°
Last column: nearest neighbours and their distance in Å.
Element x y z (fractional)
Ba (0.0000, 0.0000, 0.0000)  12 O 3.01-3.36, 2 Na 3.11
Na (0.0000, 0.0000, 0.5000)  6 O 2.20
Ir (0.3333, 0.6667, 0.4501)  4 O 1.84-1.94
Ir (0.6667, 0.3333, 0.5499)  4 O 1.84-1.94
O (0.0620, 0.3892, 0.6423)  2 Ir 1.94-2.14
O (0.3273, 0.9380, 0.6423)  2 Ir 1.94-2.14
O (0.3333, 0.6667, 0.1549)  1 Ir 1.84
O (0.3892, 0.3273, 0.3577)  2 Ir 1.94-2.14
O (0.6108, 0.6727, 0.6423)  2 Ir 1.94-2.14
O (0.6667, 0.3333, 0.8451)  1 Ir 1.84
O (0.6727, 0.0620, 0.3577)  2 Ir 1.94-2.14
O (0.9380, 0.6108, 0.3577)  2 Ir 1.94-2.14

Computed properties:
Raw formation energy = -0.93 eV per atom
DOS(E_F) = 6.9 states/eV per cell

---

Entry 5:
## Ba3NaIr2O8 (PBE-GGA)

Data for Ba3NaIr2O8 after structural relaxation.

Cell: 5.8740 5.8740 7.9199 Å, 90.00 90.00 120.00°
Last column: nearest neighbours and their distance in Å.
Element x y z (fractional)
Ba (0.0000, 0.0000, 0.0000)  12 O 3.11-3.42
Ba (0.3333, 0.6667, 0.6202)  4 O 2.60-2.86
Ba (0.6667, 0.3333, 0.3798)  4 O 2.60-2.86
Na (0.0000, 0.0000, 0.5000)  6 O 2.31
Ir (0.3333, 0.6667, 0.1775)  4 O 1.81-1.94
Ir (0.6667, 0.3333, 0.8225)  4 O 1.81-1.94
O (0.1782, 0.3565, 0.3190)  1 Ir 1.94
O (0.1782, 0.8218, 0.3190)  1 Ir 1.94
O (0.3333, 0.6667, 0.9484)  1 Ir 1.81
O (0.3565, 0.1782, 0.6810)  1 Ir 1.94
O (0.6435, 0.8218, 0.3190)  1 Ir 1.94
O (0.6667, 0.3333, 0.0516)  1 Ir 1.81
O (0.8218, 0.1782, 0.6810)  1 Ir 1.94
O (0.8218, 0.6435, 0.6810)  1 Ir 1.94

Computed properties:
Raw formation energy = -1.52 eV per atom
DOS(E_F) = 4.8 states/eV per cell

---

Entry 6:
## Ba3Na3IrO8 (PBE-GGA)

Data for Ba3Na3IrO8 after structural relaxation.

Cell: 7.0939 7.0939 7.0939 Å, 63.50 63.50 63.50°
Last column: nearest neighbours and their distance in Å.
Element x y z (fractional)
Ba (0.0000, 0.5000, 0.5000)  6 O 2.59-2.72
Ba (0.5000, 0.0000, 0.5000)  6 O 2.59-2.72
Ba (0.5000, 0.5000, 0.0000)  6 O 2.59-2.72
Na (0.0000, 0.0000, 0.5000)  6 O 2.56-2.58
Na (0.0000, 0.5000, 0.0000)  6 O 2.56-2.58
Na (0.5000, 0.0000, 0.0000)  6 O 2.56-2.58
Ir (0.0000, 0.0000, 0.0000)  6 O 1.96
O (0.1822, 0.8091, 0.8091)  1 Ir 1.96
O (0.1909, 0.1909, 0.8178)  1 Ir 1.96
O (0.1909, 0.8178, 0.1909)  1 Ir 1.96
O (0.2485, 0.2485, 0.2485)  3 Na 2.56, 3 Ba 2.59
O (0.7515, 0.7515, 0.7515)  3 Na 2.56, 3 Ba 2.59
O (0.8091, 0.1822, 0.8091)  1 Ir 1.96
O (0.8091, 0.8091, 0.1822)  1 Ir 1.96
O (0.8178, 0.1909, 0.1909)  1 Ir 1.96

Computed properties:
Raw formation energy = -1.65 eV per atom
DOS(E_F) = 7.4 states/eV per cell

---

Entry 7:
## Ba3NaIrRuO9 (PBE-GGA)

Data for Ba3NaIrRuO9 after structural relaxation.

Cell: 5.9711 5.9711 14.4826 Å, 90.00 90.00 120.00°
Last column: nearest neighbours and their distance in Å.
Element x y z (fractional)
Ba (0.0000, 0.0000, 0.0000)  12 O 2.96-2.99
Ba (0.0000, 0.0000, 0.5000)  12 O 2.96-2.99
Ba (0.3333, 0.6667, 0.1623)  12 O 2.98-3.03
Ba (0.3333, 0.6667, 0.8387)  12 O 2.93-3.05
Ba (0.6667, 0.3333, 0.3387)  12 O 2.93-3.05
Ba (0.6667, 0.3333, 0.6623)  12 O 2.98-3.03
Na (0.0000, 0.0000, 0.2501)  6 O 2.28
Na (0.0000, 0.0000, 0.7501)  6 O 2.28
Ir (0.3333, 0.6667, 0.4142)  6 O 1.91-2.04
Ir (0.6667, 0.3333, 0.9142)  6 O 1.91-2.04
Ru (0.3333, 0.6667, 0.5888)  6 O 1.88-2.10
Ru (0.6667, 0.3333, 0.0888)  6 O 1.88-2.10
O (0.0163, 0.5081, 0.4983)  1 Ir 2.04, 1 Ru 2.10
O (0.1800, 0.3600, 0.3405)  1 Ir 1.91
O (0.1798, 0.3595, 0.6587)  1 Ru 1.88
O (0.1800, 0.8200, 0.3405)  1 Ir 1.91
O (0.1798, 0.8202, 0.6587)  1 Ru 1.88
O (0.3595, 0.1798, 0.1587)  1 Ru 1.88
O (0.3600, 0.1800, 0.8405)  1 Ir 1.91
O (0.4919, 0.5081, 0.4983)  1 Ir 2.04, 1 Ru 2.10
O (0.4919, 0.9837, 0.4983)  1 Ir 2.04, 1 Ru 2.10
O (0.5081, 0.0163, 0.9983)  1 Ir 2.04, 1 Ru 2.10
O (0.5081, 0.4919, 0.9983)  1 Ir 2.04, 1 Ru 2.10
O (0.6400, 0.8200, 0.3405)  1 Ir 1.91
O (0.6405, 0.8202, 0.6587)  1 Ru 1.88
O (0.8202, 0.1798, 0.1587)  1 Ru 1.88
O (0.8200, 0.1800, 0.8405)  1 Ir 1.91
O (0.8202, 0.6405, 0.1587)  1 Ru 1.88
O (0.8200, 0.6400, 0.8405)  1 Ir 1.91
O (0.9837, 0.4919, 0.9983)  1 Ir 2.04, 1 Ru 2.10

Computed properties:
Raw formation energy = -1.78 eV per atom
DOS(E_F) = 8.9 states/eV per cell

---

Entry 8:
## BaNaP2Ir (PBE-GGA)

Data for BaNaP2Ir after structural relaxation.

Cell: 4.7625 4.7625 5.7876 Å, 90.00 90.00 90.00°
Last column: nearest neighbours and their distance in Å.
Element x y z (fractional)
Ba (0.0000, 0.0000, 0.0000)  2 Ir 2.89
Na (0.5000, 0.5000, 0.0000)  4 Ba 3.37, 8 P 3.75
P (0.0000, 0.5000, 0.5000)  2 Ir 2.38
P (0.5000, 0.0000, 0.5000)  2 Ir 2.38
Ir (0.0000, 0.0000, 0.5000)  4 P 2.38

Computed properties:
Electronic total energy = -4.4649 eV per atom
DOS(E_F) = 4.1 states/eV per cell

---

Entry 9:
## Ba6Na3IrPd2 (PBE-GGA)

Data for Ba6Na3IrPd2 after structural relaxation.

Cell: 7.8777 7.8777 10.6383 Å, 97.41 97.41 120.24°
Last column: nearest neighbours and their distance in Å.
Element x y z (fractional)
Ba (0.0588, 0.3808, 0.1679)  1 Ir 3.07, 2 Pd 3.17-3.19
Ba (0.2625, 0.2625, 0.8294)  1 Ir 3.08, 2 Pd 3.19
Ba (0.3808, 0.0588, 0.1679)  1 Ir 3.07, 2 Pd 3.17-3.19
Ba (0.6192, 0.9412, 0.8321)  1 Ir 3.07, 2 Pd 3.17-3.19
Ba (0.7375, 0.7375, 0.1706)  1 Ir 3.08, 2 Pd 3.19
Ba (0.9412, 0.6192, 0.8321)  1 Ir 3.07, 2 Pd 3.17-3.19
Na (0.1773, 0.8227, 0.5000)  6 Ba 4.26-4.32, 5 Na 4.40-4.61
Na (0.5000, 0.5000, 0.5000)  6 Ba 4.26-4.37, 6 Na 4.41-4.61
Na (0.8227, 0.1773, 0.5000)  6 Ba 4.26-4.32, 5 Na 4.40-4.61
Ir (0.0000, 0.0000, 0.0000)  6 Ba 3.07-3.08
Pd (0.3340, 0.6660, 0.0000)  6 Ba 3.17-3.19
Pd (0.6660, 0.3340, 0.0000)  6 Ba 3.17-3.19

Computed properties:
Electronic total energy = -3.1151 eV per atom
DOS(E_F) = 7.4 states/eV per cell

---

Entry 10:
## Ba6NaIrPd (PBE-GGA)

Data for Ba6NaIrPd after structural relaxation.

Cell: 8.2170 8.2170 7.9960 Å, 90.00 90.00 120.00°
Last column: nearest neighbours and their distance in Å.
Element x y z (fractional)
Ba (0.0417, 0.3442, 0.2187)  1 Ir 3.08, 1 Pd 3.20
Ba (0.0417, 0.6975, 0.7813)  1 Ir 3.08, 1 Pd 3.20
Ba (0.3025, 0.3442, 0.7813)  1 Ir 3.08, 1 Pd 3.20
Ba (0.3025, 0.9583, 0.2187)  1 Ir 3.08, 1 Pd 3.20
Ba (0.6558, 0.6975, 0.2187)  1 Ir 3.08, 1 Pd 3.20
Ba (0.6558, 0.9583, 0.7813)  1 Ir 3.08, 1 Pd 3.20
Na (0.6667, 0.3333, 0.5000)  6 Ba 3.78
Ir (0.3333, 0.6667, 0.0000)  6 Ba 3.08
Pd (0.0000, 0.0000, 0.0000)  6 Ba 3.20

Computed properties:
Electronic total energy = -3.1826 eV per atom
DOS(E_F) = 5.2 states/eV per cell